The following is a DFT calculation (PBE) of a relaxed structure of Sr2LiP.

Cell: 7.298 7.298 7.298 Å, 106.99 106.99 114.57°
Fractional coordinates of all 8 atoms:
Sr 0.065 0.625 0.940
Sr 0.375 0.315 0.440
Sr 0.685 0.125 0.060
Sr 0.875 0.935 0.560
Li 0.250 0.750 0.500
Li 0.500 0.500 0.000
P 0.000 0.000 0.000
P 0.750 0.250 0.500

Results
The crystal system is tetragonal. The value obtained for the final energy is -2.968 eV/atom. Its space-group type is I-42d. As for the energy relative to the elements: -0.30 eV/atom. As for the density of states at the Fermi level: 2.10 states/eV/f.u.